Compound: NaNiSeBr2
Source: Alexandria
Functional: meta-GGA SCAN
Structure: single point on PBEsol structure

The structure in POSCAR format:
```
NaNiSeBr2
1.0
-3.7130 -2.8007 -2.2032
1.3278 -4.0401 2.8981
-3.3689 1.5511 3.7058
Se Br Ni Na
1 2 1 1
Cartesian
-1.6844 0.7755 1.8529
-1.8565 -1.4003 -1.1016
0.6639 -2.0201 1.4490
-2.8770 -2.6449 2.2004
0.0000 0.0000 0.0000
```

Summary:
Energy, eV for the cell shown: -77.29
Space group: P4/mmm, No. 123
Crystal system: tetragonal
Uncorrected formation energy, eV/atom: 0.420